Record 1
# PBE SrLi11, optimized geometry
# **Final energy**: -90.161 eV per cell
data_SrLi11
_cell_length_a 11.890
_cell_length_b 11.890
_cell_length_c 7.941
_cell_angle_alpha 90.00
_cell_angle_beta 90.00
_cell_angle_gamma 90.00
_symmetry_space_group_name_H-M 'I 41/a m d'
_symmetry_Int_Tables_number 141
loop_
_symmetry_equiv_pos_as_xyz
'x,y,z'
'-x,-y,-z'
'-y+1/4,x+3/4,z+1/4'
'y+1/4,-x+3/4,-z+1/4'
'-x+1/2,-y,z+1/2'
'x+1/2,y,-z+1/2'
'y+1/4,-x+1/4,z+3/4'
'-y+1/4,x+1/4,-z+3/4'
'x,-y,-z'
'-x,y,z'
'-y+1/4,-x+1/4,-z+3/4'
'y+1/4,x+1/4,z+3/4'
'-x+1/2,y,-z+1/2'
'x+1/2,-y,z+1/2'
'y+1/4,x+3/4,-z+1/4'
'-y+1/4,-x+3/4,z+1/4'
'x+1/2,y+1/2,z+1/2'
'-x+1/2,-y+1/2,-z+1/2'
'-y+3/4,x+1/4,z+3/4'
'y+3/4,-x+1/4,-z+3/4'
'-x,-y+1/2,z'
'x,y+1/2,-z'
'y+3/4,-x+3/4,z+1/4'
'-y+3/4,x+3/4,-z+1/4'
'x+1/2,-y+1/2,-z+1/2'
'-x+1/2,y+1/2,z+1/2'
'-y+3/4,-x+3/4,-z+1/4'
'y+3/4,x+3/4,z+1/4'
'-x,y+1/2,-z'
'x,-y+1/2,z'
'y+3/4,x+1/4,-z+3/4'
'-y+3/4,-x+1/4,z+3/4'
loop_
_atom_site_label
_atom_site_fract_x
_atom_site_fract_y
_atom_site_fract_z
Sr1 0.000 0.250 0.375
Li1 0.000 0.000 0.000
Li2 0.000 0.250 0.875
Li3 0.124 0.046 0.682

Record 2
# PBE SrLi2, optimized geometry
# **Final energy**: -5.342 eV per cell
data_SrLi2
_cell_length_a 5.2526
_cell_length_b 5.2526
_cell_length_c 4.1862
_cell_angle_alpha 90.00
_cell_angle_beta 90.00
_cell_angle_gamma 120.00
_symmetry_space_group_name_H-M 'P 6/m m m'
_symmetry_Int_Tables_number 191
_symmetry_space_group_name_Hall '-P 6 2'
loop_
_atom_site_label
_atom_site_fract_x
_atom_site_fract_y
_atom_site_fract_z
Sr1 0.0000 0.0000 0.0000
Li1 0.3333 0.6667 0.5000

Record 3
# PBE Sr4Li5, optimized geometry
# **Relative energy among the computed polymorphs**: 0.00 eV per formula unit
data_Sr4Li5
_cell_length_a 10.888
_cell_length_b 10.888
_cell_length_c 5.629
_cell_angle_alpha 90.00
_cell_angle_beta 90.00
_cell_angle_gamma 90.00
_symmetry_space_group_name_H-M 'I 4/m m m'
_symmetry_Int_Tables_number 139
_symmetry_space_group_name_Hall '-I 4 2'
loop_
_atom_site_label
_atom_site_fract_x
_atom_site_fract_y
_atom_site_fract_z
Sr1 0.000 0.304 0.000
Li1 0.000 0.000 0.000
Li2 0.138 0.138 0.500

Record 4
# PBE SrLi2, optimized geometry
# **Final energy**: -5.036 eV per cell
data_SrLi2
_cell_length_a 4.0067
_cell_length_b 4.0067
_cell_length_c 7.3008
_cell_angle_alpha 90.00
_cell_angle_beta 90.00
_cell_angle_gamma 120.00
_symmetry_space_group_name_H-M 'P -3 m 1'
_symmetry_Int_Tables_number 164
_symmetry_space_group_name_Hall '-P 3 2"'
loop_
_atom_site_label
_atom_site_fract_x
_atom_site_fract_y
_atom_site_fract_z
Sr1 0.0000 0.0000 0.0000
Li1 0.3333 0.6667 0.3783

no.,size of the total moment (μB per formula unit)
1,0.00
2,0.00
3,0.00
4,0.00